[1]
Density functional theory data (PBE-GGA) for an optimized crystal structure of SrP2AuO6.

a = 6.5147 Å, b = 6.5147 Å, c = 12.6731 Å
α = 90.00°, β = 90.00°, γ = 120.00°
Space group R-3 (No. 148, hexagonal axes)
Symmetry-distinct sites (fractional):
Sr1 0.0000 0.0000 0.0000 x3
P1 0.0000 0.0000 0.2867 x6
Au1 0.0000 0.0000 0.5000 x3
O1 0.0459 0.2482 0.7323 x18

[2]
Density functional theory data (PBE-GGA) for an optimized crystal structure of SrPAuO2.

a = 4.3610 Å, b = 4.3610 Å, c = 7.1719 Å
α = 90.00°, β = 90.00°, γ = 90.00°
Space group P4/mmm (No. 123)
Symmetry-distinct sites (fractional):
Sr1 0.0000 0.0000 0.0000 x1
P1 0.0000 0.0000 0.5000 x1
Au1 0.5000 0.5000 0.5000 x1
O1 0.0000 0.5000 0.0000 x2

Values from the calculation:
ΔE to the lowest computed polymorph: 634 meV/atom

[3]
Density functional theory data (PBE-GGA) for an optimized crystal structure of SrPAuO2.

a = 4.4097 Å, b = 4.4097 Å, c = 4.5885 Å
α = 90.00°, β = 90.00°, γ = 90.00°
Space group P4/mmm (No. 123)
Symmetry-distinct sites (fractional):
Sr1 0.0000 0.0000 0.0000 x1
P1 0.5000 0.5000 0.0000 x1
Au1 0.5000 0.5000 0.5000 x1
O1 0.0000 0.5000 0.5000 x2

Values from the calculation:
ΔE to the lowest computed polymorph: 0 meV/atom

[4]
Density functional theory data (PBE-GGA) for an optimized crystal structure of TaP2AuO.

a = 4.7563 Å, b = 4.7563 Å, c = 3.8783 Å
α = 90.00°, β = 90.00°, γ = 90.00°
Space group P4/mmm (No. 123)
Symmetry-distinct sites (fractional):
Ta1 0.0000 0.0000 0.0000 x1
P1 0.0000 0.5000 0.5000 x2
Au1 0.5000 0.5000 0.5000 x1
O1 0.5000 0.5000 0.0000 x1

Values from the calculation:
ΔE to the lowest computed polymorph: 1235 meV/atom

[5]
Density functional theory data (PBE-GGA) for an optimized crystal structure of TaP2AuO.

a = 4.9574 Å, b = 4.9574 Å, c = 3.8195 Å
α = 90.00°, β = 90.00°, γ = 90.00°
Space group P4/mmm (No. 123)
Symmetry-distinct sites (fractional):
Ta1 0.0000 0.0000 0.0000 x1
P1 0.0000 0.5000 0.0000 x2
Au1 0.5000 0.5000 0.5000 x1
O1 0.0000 0.0000 0.5000 x1

Values from the calculation:
ΔE to the lowest computed polymorph: 0 meV/atom

[6]
Density functional theory data (PBE-GGA) for an optimized crystal structure of Ta2PAuO.

a = 4.1358 Å, b = 4.1358 Å, c = 4.6056 Å
α = 90.00°, β = 90.00°, γ = 90.00°
Space group P4/mmm (No. 123)
Symmetry-distinct sites (fractional):
Ta1 0.0000 0.5000 0.0000 x2
P1 0.0000 0.0000 0.5000 x1
Au1 0.5000 0.5000 0.5000 x1
O1 0.0000 0.0000 0.0000 x1

[7]
Density functional theory data (PBE-GGA) for an optimized crystal structure of TcPAuO2.

a = 3.7300 Å, b = 3.7300 Å, c = 5.3430 Å
α = 90.00°, β = 90.00°, γ = 90.00°
Space group P4/mmm (No. 123)
Symmetry-distinct sites (fractional):
Tc1 0.0000 0.0000 0.0000 x1
P1 0.0000 0.0000 0.5000 x1
Au1 0.5000 0.5000 0.5000 x1
O1 0.0000 0.5000 0.0000 x2

Values from the calculation:
ΔE to the lowest computed polymorph: 0 meV/atom

[8]
Density functional theory data (PBE-GGA) for an optimized crystal structure of TcPAuO2.

a = 3.9692 Å, b = 3.9692 Å, c = 5.0107 Å
α = 90.00°, β = 90.00°, γ = 90.00°
Space group P4/mmm (No. 123)
Symmetry-distinct sites (fractional):
Tc1 0.0000 0.0000 0.0000 x1
P1 0.5000 0.5000 0.0000 x1
Au1 0.5000 0.5000 0.5000 x1
O1 0.0000 0.5000 0.5000 x2

Values from the calculation:
ΔE to the lowest computed polymorph: 1496 meV/atom

no.,E_tot (eV/atom)
1,-6.2908
2,-3.7539
3,-4.3882
4,-5.2289
5,-6.4641
6,-7.5800
7,-6.3904
8,-4.8942